Entry from Alexandria: a geometry-optimized Mg2SiCl structure (GGA-PBE).

Unit cell a=4.8603 b=4.8603 c=4.8603 alpha=60.00 beta=60.00 gamma=60.00
Last column: nearest neighbours and their distance in Å.
Positions (direct):
1 Cl 0.5000 0.5000 0.5000  8 Mg 2.98
2 Si 0.0000 0.0000 0.0000  8 Mg 2.98
3 Mg 0.7500 0.7500 0.7500  4 Si 2.98, 4 Cl 2.98
4 Mg 0.2500 0.2500 0.2500  4 Cl 2.98, 4 Si 2.98

## Properties
Its density of states at the Fermi level is 1.137 states/eV/atom. The total magnetic moment comes out at 0.00 Bohr magnetons per cell. Its distance to the lowest polymorph of the same formula is 178 kJ/mol of formula units. The density comes out at 2.29 g/cm³.

Entry from Alexandria: a geometry-optimized Mg2SiCl structure (GGA-PBE).

Unit cell a=7.5240 b=7.5240 c=7.5240 alpha=152.30 beta=154.10 gamma=38.28
Last column: nearest neighbours and their distance in Å.
Positions (direct):
1 Si 0.4515 0.4515 0.0000  6 Mg 2.65-2.73
2 Mg 0.0336 0.0336 0.0000  4 Si 2.73, 2 Cl 2.91
3 Mg 0.3146 0.8146 0.5000  2 Si 2.65, 4 Cl 2.95
4 Cl 0.7002 0.2002 0.5000  6 Mg 2.91-2.95

## Properties
Its density of states at the Fermi level is 0.266 states/eV/atom. The total magnetic moment comes out at 0.00 Bohr magnetons per cell. Its distance to the lowest polymorph of the same formula is 61 kJ/mol of formula units. The density comes out at 2.16 g/cm³.

Entry from Alexandria: a geometry-optimized MgSiCl structure (GGA-PBE).

Unit cell a=4.7670 b=4.7670 c=4.7670 alpha=60.00 beta=60.00 gamma=60.00
Last column: nearest neighbours and their distance in Å.
Positions (direct):
1 Si 0.7500 0.7500 0.7500  4 Cl 2.92, 4 Mg 2.92
2 Cl 0.0000 0.0000 0.0000  4 Si 2.92
3 Mg 0.5000 0.5000 0.5000  4 Si 2.92

## Properties
Its density of states at the Fermi level is 1.072 states/eV/atom. The total magnetic moment comes out at 0.48 Bohr magnetons per cell. The density comes out at 1.90 g/cm³.

Entry from Alexandria: a geometry-optimized MgSiCl2 structure (GGA-PBE).

Unit cell a=3.5119 b=3.5119 c=9.2231 alpha=90.00 beta=90.00 gamma=119.86
Last column: nearest neighbours and their distance in Å.
Positions (direct):
1 Si 0.5000 0.5000 0.7328  2 Cl 2.48, 2 Mg 2.72
2 Cl 0.0000 0.0000 0.9216  2 Si 2.48
3 Cl 0.5000 0.5000 0.3376  2 Mg 2.36
4 Mg 0.0000 0.0000 0.5081  2 Cl 2.36

## Properties
Its density of states at the Fermi level is 0.229 states/eV/atom. The total magnetic moment comes out at 0.00 Bohr magnetons per cell. Its distance to the lowest polymorph of the same formula is 103 kJ/mol of formula units. The density comes out at 2.08 g/cm³.

Entry from Alexandria: a geometry-optimized MgSiCl2 structure (GGA-PBE).

Unit cell a=3.2664 b=3.2664 c=12.2426 alpha=90.00 beta=90.00 gamma=114.92
Last column: nearest neighbours and their distance in Å.
Positions (direct):
1 Si 0.5000 0.5000 0.7500  6 Si 3.27-3.51
2 Cl 0.0000 0.0000 0.1181  2 Mg 2.39
3 Cl 0.0000 0.0000 0.3819  2 Mg 2.39
4 Mg 0.5000 0.5000 0.2500  4 Cl 2.39

## Properties
Its density of states at the Fermi level is 0.303 states/eV/atom. The total magnetic moment comes out at 0.00 Bohr magnetons per cell. Its distance to the lowest polymorph of the same formula is 81 kJ/mol of formula units. The density comes out at 1.73 g/cm³.

Entry from Alexandria: a geometry-optimized Mg2Si2Cl structure (GGA-PBE).

Unit cell a=7.5943 b=7.5943 c=3.5374 alpha=90.00 beta=90.00 gamma=90.00
Last column: nearest neighbours and their distance in Å.
Positions (direct):
1 Mg 0.6940 0.8060 0.5000  6 Si 2.79-2.96
2 Mg 0.8060 0.3060 0.5000  6 Si 2.79-2.96
3 Mg 0.3060 0.1940 0.5000  6 Si 2.79-2.96
4 Mg 0.1940 0.6940 0.5000  6 Si 2.79-2.96
5 Si 0.1056 0.3944 0.0000  1 Si 2.27
6 Si 0.8944 0.6056 0.0000  1 Si 2.27
7 Si 0.3944 0.8944 0.0000  1 Si 2.27
8 Si 0.6056 0.1056 0.0000  1 Si 2.27
9 Cl 0.0000 0.0000 0.0000  4 Si 3.10, 8 Mg 3.27
10 Cl 0.5000 0.5000 0.0000  4 Si 3.10, 8 Mg 3.27

## Properties
Its density of states at the Fermi level is 0.382 states/eV/atom. The total magnetic moment comes out at 0.00 Bohr magnetons per cell. Its distance to the lowest polymorph of the same formula is 0 kJ/mol of formula units. The density comes out at 2.28 g/cm³.

Entry from Alexandria: a geometry-optimized MgSiCl2 structure (GGA-PBE).

Unit cell a=4.9750 b=3.5687 c=7.2351 alpha=75.83 beta=90.00 gamma=90.00
Last column: nearest neighbours and their distance in Å.
Positions (direct):
1 Cl 0.5000 0.2724 0.3273  2 Si 2.36
2 Cl 0.0000 0.9764 0.9252  2 Mg 2.38-2.39
3 Mg 0.0000 0.5885 0.6995  2 Cl 2.38-2.39
4 Si 0.5000 0.6627 0.5480  2 Cl 2.36

## Properties
The total magnetic moment comes out at 0.00 Bohr magnetons per cell. Its distance to the lowest polymorph of the same formula is 44 kJ/mol of formula units. The density comes out at 1.64 g/cm³.

Entry from Alexandria: a geometry-optimized MgSiCl2 structure (GGA-PBE).

Unit cell a=4.8598 b=4.8598 c=4.8598 alpha=60.00 beta=60.00 gamma=60.00
Last column: nearest neighbours and their distance in Å.
Positions (direct):
1 Cl 0.2500 0.2500 0.2500  4 Mg 2.98, 4 Si 2.98
2 Cl 0.7500 0.7500 0.7500  4 Mg 2.98, 4 Si 2.98
3 Si 0.5000 0.5000 0.5000  8 Cl 2.98
4 Mg 0.0000 0.0000 0.0000  8 Cl 2.98

## Properties
Its density of states at the Fermi level is 0.654 states/eV/atom. The total magnetic moment comes out at 0.00 Bohr magnetons per cell. Its distance to the lowest polymorph of the same formula is 263 kJ/mol of formula units. The density comes out at 2.52 g/cm³.

Entry from Alexandria: a geometry-optimized Mg2SiCl structure (GGA-PBE).

Unit cell a=3.0996 b=3.0996 c=9.8803 alpha=90.00 beta=90.00 gamma=89.72
Last column: nearest neighbours and their distance in Å.
Positions (direct):
1 Mg 0.0000 0.0000 0.9860  4 Cl 2.60-2.61
2 Mg 0.5000 0.5000 0.2402  4 Si 2.89-2.90, 4 Mg 3.10
3 Si 0.0000 0.0000 0.4311  4 Mg 2.89-2.90, 4 Si 3.10
4 Cl 0.5000 0.5000 0.8427  4 Mg 2.60-2.61

## Properties
Its density of states at the Fermi level is 0.598 states/eV/atom. The total magnetic moment comes out at 0.00 Bohr magnetons per cell. Its distance to the lowest polymorph of the same formula is 130 kJ/mol of formula units. The density comes out at 1.96 g/cm³.

Entry from Alexandria: a geometry-optimized MgSi2Cl8 structure (GGA-PBE).

Unit cell a=6.6584 b=7.2693 c=7.2693 alpha=86.29 beta=78.69 gamma=78.69
Last column: nearest neighbours and their distance in Å.
Positions (direct):
1 Cl 0.2094 0.2625 0.9109  1 Si 2.22
2 Cl 0.3057 0.8109 0.8109  1 Si 2.31, 1 Mg 2.44
3 Cl 0.7604 0.6777 0.6777  1 Si 2.12
4 Cl 0.7906 0.7375 0.0891  1 Si 2.22
5 Cl 0.6943 0.1891 0.1891  1 Si 2.31, 1 Mg 2.44
6 Cl 0.7906 0.0891 0.7375  1 Si 2.22
7 Cl 0.2094 0.9109 0.2625  1 Si 2.22
8 Cl 0.2396 0.3223 0.3223  1 Si 2.12
9 Si 0.6066 0.8805 0.8805  4 Cl 2.12-2.31
10 Si 0.3934 0.1195 0.1195  4 Cl 2.12-2.31
11 Mg 0.0000 0.0000 0.0000  6 Cl 2.44-2.56

## Properties
Its density of states at the Fermi level is 0.000 states/eV/atom. The total magnetic moment comes out at 0.00 Bohr magnetons per cell. The density comes out at 1.79 g/cm³.

Entry from Alexandria: a geometry-optimized MgSiCl2 structure (GGA-PBE).

Unit cell a=3.1960 b=3.1960 c=8.4036 alpha=90.00 beta=90.00 gamma=90.00
Last column: nearest neighbours and their distance in Å.
Positions (direct):
1 Cl 0.0000 0.0000 0.9242  4 Si 2.79
2 Cl 0.5000 0.5000 0.3435  4 Mg 2.63
3 Mg 0.0000 0.0000 0.5036  4 Cl 2.63
4 Si 0.5000 0.5000 0.7287  4 Cl 2.79, 4 Mg 2.95

## Properties
Its density of states at the Fermi level is 0.365 states/eV/atom. The total magnetic moment comes out at 0.00 Bohr magnetons per cell. Its distance to the lowest polymorph of the same formula is 105 kJ/mol of formula units. The density comes out at 2.39 g/cm³.

Entry from Alexandria: a geometry-optimized MgSi4Cl structure (GGA-PBE).

Unit cell a=5.2491 b=5.2491 c=5.2491 alpha=60.00 beta=60.00 gamma=60.00
Last column: nearest neighbours and their distance in Å.
Positions (direct):
1 Si 0.3759 0.8722 0.3759  6 Si 2.61-2.64
2 Si 0.3759 0.3759 0.3759  6 Si 2.61-2.64
3 Si 0.3759 0.3759 0.8722  6 Si 2.61-2.64
4 Si 0.8722 0.3759 0.3759  6 Si 2.61-2.64
5 Mg 0.0000 0.0000 0.0000  12 Si 3.08, 4 Cl 3.21
6 Cl 0.7500 0.7500 0.7500  12 Si 3.08, 4 Mg 3.21

## Properties
Its density of states at the Fermi level is 0.366 states/eV/atom. The total magnetic moment comes out at 0.00 Bohr magnetons per cell. The density comes out at 2.79 g/cm³.

Entry from Alexandria: a geometry-optimized MgSiCl2 structure (GGA-PBE).

Unit cell a=7.3346 b=7.3346 c=7.0550 alpha=58.68 beta=58.68 gamma=90.00
Last column: nearest neighbours and their distance in Å.
Positions (direct):
1 Mg 0.5000 0.5000 0.0000  4 Cl 2.36
2 Mg 0.2500 0.7500 0.5000  4 Cl 2.36
3 Cl 0.8750 0.7463 0.7500  2 Mg 2.36
4 Cl 0.4963 0.1250 0.2500  2 Mg 2.36
5 Cl 0.2537 0.6250 0.2500  2 Mg 2.36
6 Cl 0.3750 0.5037 0.7500  2 Mg 2.36
7 Si 0.0000 0.0000 0.0000  4 Cl 3.54
8 Si 0.7500 0.2500 0.5000  4 Cl 3.54

## Properties
Its density of states at the Fermi level is 0.099 states/eV/atom. The total magnetic moment comes out at 4.00 Bohr magnetons per cell. Its distance to the lowest polymorph of the same formula is 175 kJ/mol of formula units. The density comes out at 1.59 g/cm³.

Entry from Alexandria: a geometry-optimized MgSiCl2 structure (GGA-PBE).

Unit cell a=3.2443 b=5.8443 c=4.2781 alpha=90.00 beta=90.00 gamma=90.00
Last column: nearest neighbours and their distance in Å.
Positions (direct):
1 Cl 0.0000 0.0000 0.0000  4 Mg 2.68
2 Cl 0.5000 0.5000 0.0000  4 Si 2.68
3 Mg 0.5000 0.0000 0.5000  4 Cl 2.68
4 Si 0.0000 0.5000 0.5000  4 Cl 2.68

## Properties
Its density of states at the Fermi level is 0.304 states/eV/atom. The total magnetic moment comes out at 0.00 Bohr magnetons per cell. Its distance to the lowest polymorph of the same formula is 151 kJ/mol of formula units. The density comes out at 2.52 g/cm³.

Entry from Alexandria: a geometry-optimized SmMgCl6 structure (GGA-PBE).

Unit cell a=7.3439 b=7.3439 c=7.3439 alpha=60.00 beta=60.00 gamma=60.00
Last column: nearest neighbours and their distance in Å.
Positions (direct):
1 Mg 0.0000 0.0000 0.0000  6 Cl 2.50
2 Cl 0.2404 0.7596 0.7596  1 Mg 2.50, 1 Sm 2.70
3 Cl 0.7596 0.7596 0.2404  1 Mg 2.50, 1 Sm 2.70
4 Cl 0.2404 0.2404 0.7596  1 Mg 2.50, 1 Sm 2.70
5 Cl 0.7596 0.2404 0.2404  1 Mg 2.50, 1 Sm 2.70
6 Cl 0.7596 0.2404 0.7596  1 Mg 2.50, 1 Sm 2.70
7 Cl 0.2404 0.7596 0.2404  1 Mg 2.50, 1 Sm 2.70
8 Sm 0.5000 0.5000 0.5000  6 Cl 2.70

## Properties
Its density of states at the Fermi level is 1.271 states/eV/atom. The total magnetic moment comes out at 0.00 Bohr magnetons per cell. The density comes out at 2.30 g/cm³.

Entry from Alexandria: a geometry-optimized Sm2MgCl structure (GGA-PBE).

Unit cell a=3.4333 b=3.4333 c=11.3566 alpha=81.31 beta=81.31 gamma=60.00
Last column: nearest neighbours and their distance in Å.
Positions (direct):
1 Sm 0.9010 0.9010 0.2971  3 Cl 3.01, 1 Mg 3.32
2 Sm 0.0990 0.0990 0.7029  3 Cl 3.01, 1 Mg 3.32
3 Mg 0.0000 0.0000 0.0000  2 Sm 3.32, 6 Mg 3.43
4 Cl 0.5000 0.5000 0.5000  6 Sm 3.01

## Properties
Its density of states at the Fermi level is 1.146 states/eV/atom. The total magnetic moment comes out at 0.00 Bohr magnetons per cell. The density comes out at 5.24 g/cm³.

Entry from Alexandria: a geometry-optimized Mg3SnCl structure (GGA-PBE).

Unit cell a=5.4989 b=5.4989 c=5.4989 alpha=90.00 beta=90.00 gamma=90.00
Last column: nearest neighbours and their distance in Å.
Positions (direct):
1 Mg 0.0000 0.0000 0.5000  2 Sn 2.75
2 Mg 0.0000 0.5000 0.0000  2 Sn 2.75
3 Mg 0.5000 0.0000 0.0000  2 Sn 2.75
4 Cl 0.5000 0.5000 0.5000  12 Mg 3.89
5 Sn 0.0000 0.0000 0.0000  6 Mg 2.75

## Properties
Its density of states at the Fermi level is 0.646 states/eV/atom. The total magnetic moment comes out at 0.00 Bohr magnetons per cell. Its distance to the lowest polymorph of the same formula is 0 kJ/mol of formula units. The density comes out at 2.27 g/cm³.

Entry from Alexandria: a geometry-optimized MgSnCl2 structure (GGA-PBE).

Unit cell a=7.1485 b=7.1485 c=7.1543 alpha=60.03 beta=60.03 gamma=90.00
Last column: nearest neighbours and their distance in Å.
Positions (direct):
1 Sn 0.0000 0.0000 0.0000  4 Cl 3.51
2 Sn 0.7500 0.2500 0.5000  4 Cl 3.51
3 Cl 0.8750 0.7413 0.7500  2 Mg 2.34
4 Cl 0.3750 0.5087 0.7500  2 Mg 2.34
5 Cl 0.2587 0.6250 0.2500  2 Mg 2.34
6 Cl 0.4913 0.1250 0.2500  2 Mg 2.34
7 Mg 0.2500 0.7500 0.5000  4 Cl 2.34
8 Mg 0.5000 0.5000 0.0000  4 Cl 2.34

## Properties
Its density of states at the Fermi level is 0.383 states/eV/atom. The total magnetic moment comes out at 0.00 Bohr magnetons per cell. Its distance to the lowest polymorph of the same formula is 0 kJ/mol of formula units. The density comes out at 2.75 g/cm³.

Entry from Alexandria: a geometry-optimized Mg2Sn2Cl structure (GGA-PBE).

Unit cell a=7.9283 b=7.9283 c=4.0860 alpha=90.00 beta=90.00 gamma=90.00
Last column: nearest neighbours and their distance in Å.
Positions (direct):
1 Sn 0.3762 0.1238 0.5000  1 Sn 2.78, 2 Mg 3.00
2 Sn 0.1238 0.6238 0.5000  1 Sn 2.78, 2 Mg 3.00
3 Sn 0.8762 0.3762 0.5000  1 Sn 2.78, 2 Mg 3.00
4 Sn 0.6238 0.8762 0.5000  1 Sn 2.78, 2 Mg 3.00
5 Cl 0.0000 0.0000 0.0000  4 Mg 2.91
6 Cl 0.5000 0.5000 0.0000  4 Mg 2.91
7 Mg 0.6796 0.1796 0.0000  2 Cl 2.91, 6 Sn 3.00-3.19
8 Mg 0.8204 0.6796 0.0000  2 Cl 2.91, 6 Sn 3.00-3.19
9 Mg 0.3204 0.8204 0.0000  2 Cl 2.91, 6 Sn 3.00-3.19
10 Mg 0.1796 0.3204 0.0000  2 Cl 2.91, 6 Sn 3.00-3.19

## Properties
Its density of states at the Fermi level is 0.241 states/eV/atom. The total magnetic moment comes out at 0.00 Bohr magnetons per cell. Its distance to the lowest polymorph of the same formula is 0 kJ/mol of formula units. The density comes out at 4.16 g/cm³.

Entry from Alexandria: a geometry-optimized Mg2SnCl structure (GGA-PBE).

Unit cell a=5.1154 b=5.1154 c=5.1154 alpha=60.00 beta=60.00 gamma=60.00
Last column: nearest neighbours and their distance in Å.
Positions (direct):
1 Cl 0.0000 0.0000 0.0000  8 Mg 3.13
2 Sn 0.5000 0.5000 0.5000  8 Mg 3.13
3 Mg 0.2500 0.2500 0.2500  4 Sn 3.13, 4 Cl 3.13
4 Mg 0.7500 0.7500 0.7500  4 Cl 3.13, 4 Sn 3.13

## Properties
Its density of states at the Fermi level is 0.943 states/eV/atom. The total magnetic moment comes out at 0.00 Bohr magnetons per cell. Its distance to the lowest polymorph of the same formula is 56 kJ/mol of formula units. The density comes out at 3.56 g/cm³.

Listing energy relative to the elements, uncorrected for the structures above in their given order: -0.08, -0.38, 0.39, -0.47, -0.52, -0.07, -0.62, -0.05, -0.21, -1.09, -0.46, 0.26, -0.28, -0.34, -1.64, -0.42, -0.07, -0.70, -0.29, -0.25 eV per atom.